1.
{"formula": "TeCCl2", "functional": "SCAN", "state": "PBEsol geometry", "spacegroup": "R-3m (166)", "raw_formation_energy_kj_per_mol_fu": 451, "e_tot_ry_per_atom": -1.07727, "lattice": [[1.589, 0.917, 10.581], [-1.589, 0.917, 10.581], [0.000, -1.835, 10.581]], "species": ["Te", "C", "Cl", "Cl"], "fractional_positions": [[0.000, 0.000, 0.000], [0.500, 0.500, 0.500], [0.125, 0.125, 0.125], [0.875, 0.875, 0.875]]}



2.
{"formula": "CuSbOs", "functional": "SCAN", "state": "PBEsol geometry", "spacegroup": "I4mm (107)", "raw_formation_energy_kj_per_mol_fu": 109, "e_tot_ry_per_atom": -3.01863, "lattice": [[-1.644, 1.644, 4.230], [1.644, -1.644, 4.230], [1.644, 1.644, -4.230]], "species": ["Cu", "Sb", "Os"], "fractional_positions": [[0.000, 0.000, 0.000], [0.334, 0.334, 0.000], [0.665, 0.665, 0.000]]}



3.
{"formula": "Li4Ga4P4O17F3", "functional": "SCAN", "state": "PBEsol geometry", "spacegroup": "P1 (1)", "raw_formation_energy_kj_per_mol_fu": -7556, "e_tot_ry_per_atom": -0.71525, "lattice": [[6.712, 0.000, 0.000], [-0.090, 7.374, 0.000], [-0.159, -3.339, 6.768]], "species": ["Li", "Li", "Li", "Li", "Ga", "Ga", "Ga", "Ga", "P", "P", "P", "P", "O", "O", "O", "O", "O", "O", "O", "O", "O", "O", "O", "O", "O", "O", "O", "O", "O", "F", "F", "F"], "fractional_positions": [[0.000, 0.000, 0.000], [0.169, 0.398, 0.914], [0.463, 0.556, 0.441], [0.666, 0.905, 0.397], [0.078, 0.230, 0.434], [0.316, 0.986, 0.674], [0.564, 0.722, 0.919], [0.820, 0.473, 0.171], [0.215, 0.760, 0.215], [0.428, 0.187, 0.131], [0.715, 0.260, 0.719], [0.919, 0.695, 0.624], [0.049, 0.516, 0.591], [0.049, 0.877, 0.643], [0.085, 0.582, 0.206], [0.091, 0.942, 0.235], [0.215, 0.212, 0.647], [0.266, 0.127, 0.963], [0.318, 0.667, 0.013], [0.327, 0.282, 0.335], [0.371, 0.818, 0.388], [0.553, 0.368, 0.139], [0.554, 0.006, 0.105], [0.579, 0.436, 0.742], [0.591, 0.076, 0.704], [0.760, 0.641, 0.453], [0.816, 0.773, 0.825], [0.821, 0.174, 0.518], [0.872, 0.330, 0.891], [0.418, 0.750, 0.705], [0.716, 0.703, 0.137], [0.926, 0.248, 0.210]]}



Please write out number 2 again, unchanged.
{"formula": "CuSbOs", "functional": "SCAN", "state": "PBEsol geometry", "spacegroup": "I4mm (107)", "raw_formation_energy_kj_per_mol_fu": 109, "e_tot_ry_per_atom": -3.01863, "lattice": [[-1.644, 1.644, 4.230], [1.644, -1.644, 4.230], [1.644, 1.644, -4.230]], "species": ["Cu", "Sb", "Os"], "fractional_positions": [[0.000, 0.000, 0.000], [0.334, 0.334, 0.000], [0.665, 0.665, 0.000]]}



What is the formula in the first record? TeCCl2



Please write out number 2 again, unchanged.
{"formula": "CuSbOs", "functional": "SCAN", "state": "PBEsol geometry", "spacegroup": "I4mm (107)", "raw_formation_energy_kj_per_mol_fu": 109, "e_tot_ry_per_atom": -3.01863, "lattice": [[-1.644, 1.644, 4.230], [1.644, -1.644, 4.230], [1.644, 1.644, -4.230]], "species": ["Cu", "Sb", "Os"], "fractional_positions": [[0.000, 0.000, 0.000], [0.334, 0.334, 0.000], [0.665, 0.665, 0.000]]}